Record 1
Entry from the Open Quantum Materials Database: crystalline Na4BiPPt2 at its relaxed geometry (PBE).

Cell: 5.6223 9.1939 7.0655 Å, 90.00 90.00 90.00°
Closest atoms and distances in Å follow each position.
Space group Amm2 (No. 38)
Symmetry-distinct sites (fractional):
Na: 0.0000 0.1805 0.0000 x4  2 Pt 3.03, 2 Bi 3.08-3.09, 2 P 3.28, 3 Na 3.30-3.32
Na: 0.5000 0.1889 0.6764 x4  2 P 3.01-3.13, 2 Na 3.30, 2 Pt 3.31, 2 Bi 3.32
Bi: 0.0000 0.0000 0.6334 x2  2 Pt 2.74
P: 0.5000 0.0000 0.0453 x2  2 Pt 2.29
Pt: 0.2479 0.0000 0.2997 x4  1 P 2.29

Results
raw total energy: -3.7362 eV/atom
crystal system: orthorhombic


Record 2
Entry from the Open Quantum Materials Database: crystalline NaBiPd at its relaxed geometry (PBE).

Cell: 6.6081 6.6081 6.6081 Å, 90.00 90.00 90.00°
Closest atoms and distances in Å follow each position.
Space group F-43m (No. 216)
Symmetry-distinct sites (fractional):
Na: 0.0000 0.0000 0.0000 x4  4 Bi 2.86, 4 Pd 2.86
Bi: 0.2500 0.2500 0.7500 x4  4 Na 2.86
Pd: 0.2500 0.2500 0.2500 x4  4 Na 2.86

Results
raw total energy: -3.2912 eV/atom
crystal system: cubic


Record 3
Entry from the Open Quantum Materials Database: crystalline Na2Bi2Pd3 at its relaxed geometry (PBE).

Cell: 4.7456 4.7456 23.0749 Å, 90.00 90.00 120.00°
Closest atoms and distances in Å follow each position.
Space group R3m (No. 160, hexagonal axes)
Symmetry-distinct sites (fractional):
Na: 0.0000 0.0000 0.0000 x3  7 Pd 2.83-2.96
Na: 0.0000 0.0000 0.4881 x3  5 Pd 2.87-2.99
Bi: 0.0000 0.0000 0.2422 x3  7 Pd 2.80-2.91
Bi: 0.0000 0.0000 0.7424 x3  5 Pd 2.88-3.03
Pd: 0.0000 0.0000 0.3636 x3  4 Bi 2.80-2.93, 4 Na 2.83-2.87
Pd: 0.0000 0.0000 0.6176 x3  4 Bi 2.88-2.91, 4 Na 2.96-2.99
Pd: 0.0000 0.0000 0.8737 x3  4 Bi 2.86-3.03, 4 Na 2.91-2.99

Results
raw total energy: -4.0508 eV/atom
crystal system: trigonal


Record 4
Entry from the Open Quantum Materials Database: crystalline NaBi5Pd3 at its relaxed geometry (PBE).

Cell: 5.7933 5.7933 8.4349 Å, 90.00 90.00 120.00°
Closest atoms and distances in Å follow each position.
Space group P6/mmm (No. 191)
Symmetry-distinct sites (fractional):
Na: 0.0000 0.0000 0.0000 x1  14 Bi 3.82-4.22
Bi: 0.0000 0.0000 0.5000 x1  6 Pd 2.90
Bi: 0.3333 0.6667 0.2194 x4  3 Pd 2.90
Pd: 0.0000 0.5000 0.5000 x3  4 Pd 2.90, 6 Bi 2.90

Results
raw total energy: -4.3555 eV/atom
crystal system: hexagonal